# 1
A plane-wave DFT calculation with PBE was carried out for crystalline TaZnCoCu at its relaxed geometry.

Structure (POSCAR):
```
TaZnCoCu
1.0
0.000 2.988 2.988
2.988 0.000 2.988
2.988 2.988 0.000
Co Cu Ta Zn
1 1 1 1
Cartesian
4.481 4.481 4.481 Co
2.988 2.988 2.988 Cu
1.494 1.494 1.494 Ta
0.000 0.000 0.000 Zn
```

Results
Final energy   -23.30 eV per formula unit
Energy of formation   0.159 eV per atom
Space-group type   No. 216

# 2
A plane-wave DFT calculation with PBE was carried out for crystalline TaZnCoCu at its relaxed geometry.

Structure (POSCAR):
```
TaZnCoCu
1.0
-3.857 0.769 1.591
-3.236 0.858 -2.605
-3.113 -2.834 -0.520
Co Cu Ta Zn
1 1 1 1
Cartesian
-5.103 -0.603 -0.767 Co
-7.654 -0.905 -1.151 Cu
-2.552 -0.302 -0.384 Ta
0.000 0.000 0.000 Zn
```

Results
Final energy   -23.58 eV per formula unit
Energy of formation   0.089 eV per atom
Space-group type   No. 216

# 3
A plane-wave DFT calculation with PBE was carried out for crystalline Tb2TlCoCu at its relaxed geometry.

Structure (POSCAR):
```
Tb2TlCoCu
1.0
3.706 0.000 0.000
0.000 2.010 7.180
0.000 -2.010 7.180
Co Cu Tb Tl
1 1 2 1
Cartesian
0.000 0.000 2.905 Co
0.000 0.000 11.462 Cu
1.853 0.000 5.161 Tb
1.853 0.000 9.148 Tb
0.000 0.000 0.044 Tl
```

Results
Final energy   -23.88 eV per formula unit
Space-group type   No. 38

# 4
A plane-wave DFT calculation with PBE was carried out for crystalline CoCu2Tc at its relaxed geometry.

Structure (POSCAR):
```
CoCu2Tc
1.0
0.000 2.896 2.896
2.896 0.000 2.896
2.896 2.896 0.000
Co Cu Tc
1 2 1
Cartesian
1.448 1.448 1.448 Co
0.000 0.000 0.000 Cu
4.344 4.344 4.344 Cu
2.896 2.896 2.896 Tc
```

Results
Final energy   -23.76 eV per formula unit
Energy of formation   0.285 eV per atom
Space-group type   No. 216

# 5
A plane-wave DFT calculation with PBE was carried out for crystalline Co4CuTc2 at its relaxed geometry.

Structure (POSCAR):
```
Co4CuTc2
1.0
-2.031 0.123 -5.452
2.119 -5.343 -0.910
-2.265 -1.038 0.821
Co Cu Tc
4 1 2
Cartesian
-1.098 -2.035 -1.446 Co
-1.062 -4.215 -4.102 Co
-1.965 -1.992 -3.715 Co
-0.232 -4.274 -1.819 Co
0.000 0.000 0.000 Cu
-1.016 0.061 -2.726 Tc
1.059 -2.672 -0.455 Tc
```

Results
Final energy   -49.67 eV per formula unit
Energy of formation   0.456 eV per atom
Space-group type   No. 111

# 6
A plane-wave DFT calculation with PBE was carried out for crystalline TlCoCuTc at its relaxed geometry.

Structure (POSCAR):
```
TlCoCuTc
1.0
2.916 2.571 2.006
-0.506 0.996 4.230
2.716 -1.688 2.985
Co Cu Tc Tl
1 1 1 1
Cartesian
3.844 1.409 6.916 Co
1.281 0.470 2.305 Cu
2.563 0.940 4.611 Tc
0.000 0.000 0.000 Tl
```

Results
Final energy   -21.34 eV per formula unit
Space-group type   No. 216

# 7
A plane-wave DFT calculation with PBE was carried out for crystalline ZnCoCuTc at its relaxed geometry.

Structure (POSCAR):
```
ZnCoCuTc
1.0
0.000 2.935 2.935
2.935 0.000 2.935
2.935 2.935 0.000
Co Cu Tc Zn
1 1 1 1
Cartesian
4.402 4.402 4.402 Co
1.467 1.467 1.467 Cu
2.935 2.935 2.935 Tc
0.000 0.000 0.000 Zn
```

Results
Final energy   -21.65 eV per formula unit
Energy of formation   0.200 eV per atom
Space-group type   No. 216

# 8
A plane-wave DFT calculation with PBE was carried out for crystalline Co2CuTe4 at its relaxed geometry.

Structure (POSCAR):
```
Co2CuTe4
1.0
7.589 0.000 0.000
0.000 7.589 0.000
0.000 0.000 10.628
Co Cu Te
8 4 16
Cartesian
3.794 5.686 0.000 Co
5.668 1.920 1.328 Co
1.903 3.794 2.657 Co
5.668 5.668 3.985 Co
3.794 1.903 5.314 Co
1.920 5.668 6.642 Co
5.686 3.794 7.971 Co
1.920 1.920 9.299 Co
0.000 5.701 0.000 Cu
1.888 0.000 2.657 Cu
0.000 1.888 5.314 Cu
5.701 0.000 7.971 Cu
1.989 7.496 0.007 Te
1.976 3.891 0.096 Te
3.697 5.612 2.561 Te
0.093 5.600 2.650 Te
0.093 1.989 2.664 Te
3.697 1.976 2.753 Te
1.976 3.697 5.218 Te
1.989 0.093 5.307 Te
5.600 0.093 5.321 Te
5.612 3.697 5.410 Te
3.891 1.976 7.875 Te
7.496 1.989 7.963 Te
7.496 5.600 7.978 Te
3.891 5.612 8.067 Te
5.612 3.891 10.532 Te
5.600 7.496 10.620 Te
```

Results
Final energy   -30.86 eV per formula unit
Space-group type   No. 91

# 9
A plane-wave DFT calculation with PBE was carried out for crystalline ZnCoCuTe at its relaxed geometry.

Structure (POSCAR):
```
ZnCoCuTe
1.0
0.000 3.112 3.112
3.112 0.000 3.112
3.112 3.112 0.000
Co Cu Te Zn
1 1 1 1
Cartesian
1.556 1.556 1.556 Co
4.669 4.669 4.669 Cu
3.112 3.112 3.112 Te
0.000 0.000 0.000 Zn
```

Results
Final energy   -14.09 eV per formula unit
Space-group type   No. 216

# 10
A plane-wave DFT calculation with PBE was carried out for crystalline TlZnCoCu at its relaxed geometry.

Structure (POSCAR):
```
TlZnCoCu
1.0
1.384 1.584 3.842
-1.094 4.064 1.216
-2.850 0.616 3.270
Co Cu Tl Zn
1 1 1 1
Cartesian
-1.919 4.698 6.246 Co
-0.640 1.566 2.082 Cu
0.000 0.000 0.000 Tl
-1.280 3.132 4.164 Zn
```

Results
Final energy   -13.22 eV per formula unit
Space-group type   No. 216

# 11
A plane-wave DFT calculation with PBE was carried out for crystalline UCoCu at its relaxed geometry.

Structure (POSCAR):
```
UCoCu
1.0
0.000 2.969 2.969
2.969 0.000 2.969
2.969 2.969 0.000
Co Cu U
1 1 1
Cartesian
0.000 0.000 0.000 Co
1.484 1.484 1.484 Cu
4.453 4.453 4.453 U
```

Results
Final energy   -20.98 eV per formula unit
Energy of formation   0.379 eV per atom
Space-group type   No. 216

# 12
A plane-wave DFT calculation with PBE was carried out for crystalline UCoCu at its relaxed geometry.

Structure (POSCAR):
```
UCoCu
1.0
0.000 3.071 3.071
3.071 0.000 3.071
3.071 3.071 0.000
Co Cu U
1 1 1
Cartesian
1.535 1.535 1.535 Co
4.606 4.606 4.606 Cu
0.000 0.000 0.000 U
```

Results
Final energy   -19.59 eV per formula unit
Energy of formation   0.843 eV per atom
Space-group type   No. 216

# 13
A plane-wave DFT calculation with PBE was carried out for crystalline Co2CuW at its relaxed geometry.

Structure (POSCAR):
```
Co2CuW
1.0
0.000 2.900 2.900
2.900 0.000 2.900
2.900 2.900 0.000
Co Cu W
2 1 1
Cartesian
0.000 0.000 0.000 Co
4.350 4.350 4.350 Co
1.450 1.450 1.450 Cu
2.900 2.900 2.900 W
```

Results
Final energy   -29.52 eV per formula unit
Energy of formation   0.342 eV per atom
Space-group type   No. 216

# 14
A plane-wave DFT calculation with PBE was carried out for crystalline CoCuW at its relaxed geometry.

Structure (POSCAR):
```
CoCuW
1.0
-2.019 -3.389 0.758
-4.017 0.000 -0.054
-1.969 -1.869 -2.961
Co Cu W
1 1 1
Cartesian
-2.001 -1.315 -0.564 Co
-6.004 -3.944 -1.693 Cu
0.000 0.000 0.000 W
```

Results
Final energy   -20.90 eV per formula unit
Energy of formation   0.961 eV per atom
Space-group type   No. 216

# 15
A plane-wave DFT calculation with PBE was carried out for crystalline Y2Co2Cu at its relaxed geometry.

Structure (POSCAR):
```
Y2Co2Cu
1.0
-1.852 1.852 6.421
1.852 -1.852 6.421
1.852 1.852 -6.421
Co Cu Y
2 1 2
Cartesian
0.000 1.852 3.211 Co
1.852 0.000 3.211 Co
0.000 0.000 0.000 Cu
0.000 0.000 4.991 Y
0.000 0.000 7.851 Y
```

Results
Final energy   -29.04 eV per formula unit
Energy of formation   0.363 eV per atom
Space-group type   No. 139

# 16
A plane-wave DFT calculation with PBE was carried out for crystalline YZnCoCu at its relaxed geometry.

Structure (POSCAR):
```
YZnCoCu
1.0
0.000 3.175 3.175
3.175 0.000 3.175
3.175 3.175 0.000
Co Cu Y Zn
1 1 1 1
Cartesian
4.763 4.763 4.763 Co
1.588 1.588 1.588 Cu
3.175 3.175 3.175 Y
0.000 0.000 0.000 Zn
```

Results
Final energy   -18.76 eV per formula unit
Energy of formation   -0.053 eV per atom
Space-group type   No. 216

# 17
A plane-wave DFT calculation with PBE was carried out for crystalline YZnCoCu at its relaxed geometry.

Structure (POSCAR):
```
YZnCoCu
1.0
0.000 3.199 3.199
3.199 0.000 3.199
3.199 3.199 0.000
Co Cu Y Zn
1 1 1 1
Cartesian
3.199 3.199 3.199 Co
4.798 4.798 4.798 Cu
1.599 1.599 1.599 Y
0.000 0.000 0.000 Zn
```

Results
Final energy   -18.32 eV per formula unit
Energy of formation   0.058 eV per atom
Space-group type   No. 216

# 18
A plane-wave DFT calculation with PBE was carried out for crystalline ZnCoCu2 at its relaxed geometry.

Structure (POSCAR):
```
ZnCoCu2
1.0
0.535 1.992 3.505
-0.813 3.979 0.222
-3.222 1.303 2.111
Co Cu Zn
1 2 1
Cartesian
-0.875 1.818 1.459 Co
0.000 0.000 0.000 Cu
-2.625 5.455 4.378 Cu
-1.750 3.637 2.919 Zn
```

Results
Final energy   -15.51 eV per formula unit
Energy of formation   0.073 eV per atom
Space-group type   No. 216

# 19
A plane-wave DFT calculation with PBE was carried out for crystalline ZnCoCu2 at its relaxed geometry.

Structure (POSCAR):
```
ZnCoCu2
1.0
2.531 -4.513 0.000
2.531 4.513 0.000
0.000 0.000 4.167
Co Cu Zn
2 4 2
Cartesian
2.531 2.974 1.042 Co
2.531 -2.974 3.125 Co
1.240 0.718 1.042 Cu
3.822 0.718 1.042 Cu
1.240 -0.718 3.125 Cu
3.822 -0.718 3.125 Cu
2.531 -1.540 1.042 Zn
2.531 1.540 3.125 Zn
```

Results
Final energy   -15.60 eV per formula unit
Energy of formation   0.052 eV per atom
Space-group type   No. 63

# 20
A plane-wave DFT calculation with PBE was carried out for crystalline ZnCo2Cu at its relaxed geometry.

Structure (POSCAR):
```
ZnCo2Cu
1.0
0.000 2.863 2.863
2.863 0.000 2.863
2.863 2.863 0.000
Co Cu Zn
2 1 1
Cartesian
0.000 0.000 0.000 Co
4.295 4.295 4.295 Co
1.432 1.432 1.432 Cu
2.863 2.863 2.863 Zn
```

Results
Final energy   -18.87 eV per formula unit
Energy of formation   0.081 eV per atom
Space-group type   No. 216

# 21
A plane-wave DFT calculation with PBE was carried out for crystalline ZnCoCu2 at its relaxed geometry.

Structure (POSCAR):
```
ZnCoCu2
1.0
4.219 0.000 0.000
0.000 2.526 4.484
0.000 -2.526 4.484
Co Cu Zn
2 4 2
Cartesian
0.000 1.259 5.230 Co
0.000 -1.259 5.230 Co
2.110 0.000 1.463 Cu
2.110 1.274 3.760 Cu
2.110 -1.274 3.760 Cu
0.000 0.000 7.489 Cu
0.000 0.000 2.979 Zn
2.110 0.000 5.964 Zn
```

Results
Final energy   -15.68 eV per formula unit
Energy of formation   0.030 eV per atom
Space-group type   No. 38

# 22
A plane-wave DFT calculation with PBE was carried out for crystalline ZnCo2Cu at its relaxed geometry.

Structure (POSCAR):
```
ZnCo2Cu
1.0
-1.523 -3.809 0.772
-1.059 1.396 4.797
-4.527 2.049 1.178
Co Cu Zn
4 2 2
Cartesian
-1.657 -1.352 1.344 Co
-2.377 1.848 4.427 Co
-4.662 2.875 4.986 Co
-4.161 2.184 2.566 Co
-2.214 -0.634 3.787 Cu
-3.962 -0.305 1.962 Cu
-1.868 1.152 1.998 Zn
-4.486 0.393 4.370 Zn
```

Results
Final energy   -18.92 eV per formula unit
Energy of formation   0.069 eV per atom
Space-group type   No. 38

# 23
A plane-wave DFT calculation with PBE was carried out for crystalline ZnCoCu2 at its relaxed geometry.

Structure (POSCAR):
```
ZnCoCu2
1.0
-1.780 -3.622 -1.011
4.413 -1.551 -2.212
-0.900 -0.954 5.005
Co Cu Zn
2 4 2
Cartesian
2.548 -2.828 1.366 Co
0.951 -4.560 1.821 Co
0.850 -1.575 -0.135 Cu
3.061 -2.356 -1.228 Cu
-0.887 -3.290 0.511 Cu
-1.323 -3.775 3.014 Cu
1.338 -4.072 -0.607 Zn
0.394 -2.055 2.389 Zn
```

Results
Final energy   -15.76 eV per formula unit
Energy of formation   0.012 eV per atom
Space-group type   No. 40

# 24
A plane-wave DFT calculation with PBE was carried out for crystalline Zn2CoCu5 at its relaxed geometry.

Structure (POSCAR):
```
Zn2CoCu5
1.0
4.195 0.000 0.000
0.000 2.564 4.483
0.000 -2.564 4.483
Co Cu Zn
1 5 2
Cartesian
0.000 0.000 7.471 Co
2.097 1.311 3.737 Cu
2.097 0.000 1.483 Cu
0.000 1.290 5.217 Cu
2.097 -1.311 3.737 Cu
0.000 -1.290 5.217 Cu
0.000 0.000 2.994 Zn
2.097 0.000 6.009 Zn
```

Results
Final energy   -28.29 eV per formula unit
Energy of formation   -0.009 eV per atom
Space-group type   No. 38

# 25
A plane-wave DFT calculation with PBE was carried out for crystalline Zn2CoCu5 at its relaxed geometry.

Structure (POSCAR):
```
Zn2CoCu5
1.0
4.060 0.000 0.000
0.000 4.060 0.000
0.000 0.000 5.821
Co Cu Zn
1 5 2
Cartesian
0.000 0.000 2.911 Co
2.030 2.030 0.000 Cu
2.030 0.000 1.469 Cu
0.000 2.030 1.469 Cu
2.030 0.000 4.352 Cu
0.000 2.030 4.352 Cu
0.000 0.000 0.000 Zn
2.030 2.030 2.911 Zn
```

Results
Final energy   -28.00 eV per formula unit
Energy of formation   0.027 eV per atom
Space-group type   No. 123

# 26
A plane-wave DFT calculation with PBE was carried out for crystalline ZnCo2Cu at its relaxed geometry.

Structure (POSCAR):
```
ZnCo2Cu
1.0
4.133 0.000 0.000
0.000 4.381 2.589
0.000 -4.381 2.589
Co Cu Zn
4 2 2
Cartesian
3.100 2.950 2.543 Co
3.100 0.778 3.933 Co
1.033 -2.950 2.543 Co
1.033 -0.778 3.933 Co
3.100 0.733 1.284 Cu
1.033 -0.733 1.284 Cu
1.033 1.431 2.594 Zn
3.100 -1.431 2.594 Zn
```

Results
Final energy   -18.93 eV per formula unit
Energy of formation   0.067 eV per atom
Space-group type   No. 40

# 27
A plane-wave DFT calculation with PBE was carried out for crystalline ZnCo2Cu at its relaxed geometry.

Structure (POSCAR):
```
ZnCo2Cu
1.0
2.513 -4.526 0.000
2.513 4.526 0.000
0.000 0.000 4.127
Co Cu Zn
4 2 2
Cartesian
1.267 -0.621 1.032 Co
3.758 -0.621 1.032 Co
1.267 0.621 3.096 Co
3.758 0.621 3.096 Co
2.513 -2.974 1.032 Cu
2.513 2.974 3.096 Cu
2.513 1.602 1.032 Zn
2.513 -1.602 3.096 Zn
```

Results
Final energy   -18.93 eV per formula unit
Energy of formation   0.067 eV per atom
Space-group type   No. 63